Computed, not measured: Pr3Pa2NbN6 after structural relaxation at the PBE level of DFT.

POSCAR file:
```
Pr3Pa2NbN6
1.0
6.0456 0.0033 0.0070
-3.0185 5.2381 0.0070
-1.0031 -1.7369 5.8316
Pr Pa Nb N
3 2 1 6
Direct
0.1632 0.8368 0.5000 Pr
0.8368 0.1632 0.5000 Pr
0.5000 0.5000 0.5000 Pr
0.3332 0.6668 0.0000 Pa
0.6668 0.3332 0.0000 Pa
0.0000 0.0000 0.0000 Nb
0.9318 0.6021 0.7953 N
0.7400 0.7400 0.2086 N
0.0682 0.3979 0.2047 N
0.6021 0.9318 0.7953 N
0.2600 0.2600 0.7914 N
0.3979 0.0682 0.2047 N
```

Output
As for the magnetization: 0.00 μB/cell. The calculation puts the raw total energy at -9.21 eV per atom. Its symmetry is C2/m. Its density of states at the Fermi level is 2.854 states/eV per cell.

Computed, not measured: Pr3Pa3NbN8 after structural relaxation at the PBE level of DFT.

POSCAR file:
```
Pr3Pa3NbN8
1.0
6.9633 0.0000 0.0000
-3.4816 6.0305 -0.0209
0.0000 -4.0001 5.8517
Pr Pa Nb N
3 3 1 8
Direct
0.0000 0.0000 0.0000 Pr
0.0000 0.5000 0.0000 Pr
0.5000 0.5000 0.0000 Pr
0.5000 0.0000 0.5000 Pa
0.5000 0.5000 0.5000 Pa
0.0000 0.5000 0.5000 Pa
0.0000 0.0000 0.5000 Nb
0.2632 0.5264 0.2897 N
0.7368 0.4736 0.7103 N
0.7780 0.5560 0.3064 N
0.2220 0.4440 0.6936 N
0.7779 0.0284 0.3064 N
0.2221 0.9716 0.6936 N
0.2505 0.0284 0.3064 N
0.7495 0.9716 0.6936 N
```

Output
As for the magnetization: 0.00 μB/cell. The calculation puts the raw total energy at -9.36 eV per atom. Its symmetry is R-3m. Its density of states at the Fermi level is 6.013 states/eV per cell.

Computed, not measured: Pa2NbPtN5 after structural relaxation at the PBE level of DFT.

POSCAR file:
```
Pa2NbPtN5
1.0
3.2612 0.0000 0.0000
-1.6306 6.6877 0.0000
0.0000 0.0000 10.3253
Pa Nb Pt N
4 2 2 10
Direct
0.8638 0.7277 0.8010 Pa
0.1196 0.2392 0.6859 Pa
0.1362 0.2723 0.3010 Pa
0.8804 0.7608 0.1859 Pa
0.8119 0.6238 0.4998 Nb
0.1881 0.3762 0.9998 Nb
0.5140 0.0281 0.9771 Pt
0.4860 0.9719 0.4771 Pt
0.3459 0.6917 0.0004 N
0.6972 0.3944 0.8371 N
0.4926 0.9852 0.7787 N
0.2902 0.5805 0.6502 N
0.9523 0.9046 0.5937 N
0.6541 0.3083 0.5004 N
0.3028 0.6056 0.3371 N
0.5074 0.0148 0.2787 N
0.7098 0.4195 0.1502 N
0.0477 0.0954 0.0937 N
```

Output
As for the magnetization: 0.00 μB/cell. The calculation puts the raw total energy at -9.44 eV per atom. Its symmetry is Cmc2_1. Its density of states at the Fermi level is 7.118 states/eV per cell.

Computed, not measured: Pu2PaNbN4 after structural relaxation at the PBE level of DFT.

POSCAR file:
```
Pu2PaNbN4
1.0
-0.5591 0.7308 3.2688
0.3663 -5.6966 1.3362
5.3436 2.3988 0.3778
Pu Pa Nb N
2 1 1 4
Direct
0.5000 0.0000 0.5000 Pu
0.0000 0.5000 0.5000 Pu
0.5000 0.5000 0.0000 Pa
0.0000 0.0000 0.0000 Nb
0.5000 0.2323 0.2303 N
0.5000 0.7677 0.7697 N
0.0000 0.2412 0.7646 N
0.0000 0.7588 0.2354 N
```

Output
As for the magnetization: 9.47 μB/cell. The calculation puts the raw total energy at -11.53 eV per atom. Its symmetry is P2/m. Its density of states at the Fermi level is 9.242 states/eV per cell.

Computed, not measured: Pa2NbRhN5 after structural relaxation at the PBE level of DFT.

POSCAR file:
```
Pa2NbRhN5
1.0
-2.3730 2.2584 0.6622
2.2146 -1.9020 5.9889
7.0830 7.5109 -0.2338
Pa Nb Rh N
4 2 2 10
Direct
0.8551 0.7102 0.8059 Pa
0.1016 0.2032 0.6815 Pa
0.1449 0.2898 0.3059 Pa
0.8984 0.7968 0.1815 Pa
0.8000 0.6000 0.5134 Nb
0.2000 0.4000 0.0134 Nb
0.5288 0.0576 0.9505 Rh
0.4712 0.9424 0.4505 Rh
0.3657 0.7314 0.9948 N
0.6819 0.3638 0.8690 N
0.4855 0.9709 0.7632 N
0.2770 0.5541 0.6607 N
0.9444 0.8888 0.5850 N
0.6343 0.2686 0.4948 N
0.3181 0.6362 0.3690 N
0.5145 0.0291 0.2632 N
0.7230 0.4459 0.1607 N
0.0556 0.1112 0.0850 N
```

Output
As for the magnetization: 0.00 μB/cell. The calculation puts the raw total energy at -9.71 eV per atom. Its symmetry is Cmc2_1. Its density of states at the Fermi level is 7.596 states/eV per cell.

Computed, not measured: Pa2NbRhN6 after structural relaxation at the PBE level of DFT.

POSCAR file:
```
Pa2NbRhN6
1.0
4.8572 0.0000 0.0000
0.0000 5.4896 0.0000
0.0000 0.0000 5.4896
Pa Nb Rh N
2 1 1 6
Direct
0.9712 0.5000 0.0000 Pa
0.9712 0.0000 0.5000 Pa
0.5650 0.5000 0.5000 Nb
0.7064 0.0000 0.0000 Rh
0.7325 0.2583 0.2583 N
0.7325 0.2583 0.7417 N
0.1803 0.5000 0.5000 N
0.1227 0.0000 0.0000 N
0.7325 0.7417 0.7417 N
0.7325 0.7417 0.2583 N
```

Output
As for the magnetization: 0.00 μB/cell. The calculation puts the raw total energy at -9.35 eV per atom. Its symmetry is P4mm.

Computed, not measured: Pa2NbRuN6 after structural relaxation at the PBE level of DFT.

POSCAR file:
```
Pa2NbRuN6
1.0
-0.8868 3.9697 -2.7185
-4.3638 0.9886 2.8671
2.8757 2.9445 3.3616
Pa Nb Ru N
2 1 1 6
Direct
0.9953 0.5000 0.0000 Pa
0.9953 0.0000 0.5000 Pa
0.5740 0.5000 0.5000 Nb
0.5704 0.0000 0.0000 Ru
0.7365 0.2483 0.2483 N
0.7365 0.2483 0.7517 N
0.1784 0.5000 0.5000 N
0.1875 0.0000 0.0000 N
0.7365 0.7517 0.7517 N
0.7365 0.7517 0.2483 N
```

Output
As for the magnetization: 0.00 μB/cell. The calculation puts the raw total energy at -9.55 eV per atom. Its symmetry is P4mm. Its density of states at the Fermi level is 9.714 states/eV per cell.

Computed, not measured: Sc2PaNbN4 after structural relaxation at the PBE level of DFT.

POSCAR file:
```
Sc2PaNbN4
1.0
-0.7543 2.0630 -2.3874
-2.6469 -4.1056 -2.7114
-3.7339 2.6524 3.4716
Sc Pa Nb N
2 1 1 4
Direct
0.5000 0.0000 0.5000 Sc
0.0000 0.5000 0.5000 Sc
0.5000 0.5000 0.0000 Pa
0.0000 0.0000 0.0000 Nb
0.5000 0.2477 0.2542 N
0.5000 0.7523 0.7458 N
0.0000 0.2416 0.7345 N
0.0000 0.7584 0.2655 N
```

Output
As for the magnetization: 0.00 μB/cell. The calculation puts the raw total energy at -9.79 eV per atom. Its symmetry is P2/m. Its density of states at the Fermi level is 3.379 states/eV per cell.